Computed, not measured: a relaxed SrCaZr2Ni crystal at the PBE level of DFT.

a b c (Å): 5.0339 5.7986 5.0339
angles (deg): 90.00 90.00 90.00
Fractional positions:
1 Sr 0.0000 0.5000 0.0000
2 Zr 0.0000 0.0000 0.5000
3 Zr 0.5000 0.0000 0.0000
4 Ca 0.5000 0.5000 0.5000
5 Ni 0.0000 0.0000 0.0000

Properties
* DFT total energy: -4.9839 eV per atom
* calculated formation energy: 0.328 eV/atom
* size of the total moment: 0.00 μB per cell
* energy above the lowest structure with this stoichiometry: 0 meV per atom